Material: BeIrBr
Method: DFT, PBE
State: relaxed

a = 3.872 Å, b = 3.050 Å, c = 9.859 Å
α = 89.96°, β = 79.87°, γ = 89.99°
Atoms (fractional coordinates):
Be1 0.312 0.120 0.873
Be2 0.389 0.620 0.054
Ir1 0.918 0.120 0.067
Ir2 0.783 0.620 0.860
Br1 0.498 0.621 0.653
Br2 0.206 0.119 0.273

Magnetic moment: 0.00 μB per cell
E above lowest polymorph: 197.1 meV/atom
Total energy: -0.1785 Ha/atom
Mass density: 8148 kg/m³
Formation energy without anion corrections: -0.103 eV/atom